Model P:
A plane-wave DFT calculation with PBE was carried out for a geometry-optimized B5C7 structure.

Lattice parameters (Å, degrees): 13.4374 2.5908 4.6202 90.00 103.88 90.00
Last column: nearest neighbours and their distance in Å.
Space group Cm (No. 8)
Unique sites:
B (0.0000, 0.0000, 0.0000) [2 per cell]  3 C 1.64-1.83, 1 B 1.68
B (0.0058, 0.0000, 0.6406) [2 per cell]  2 C 1.55, 2 B 1.68-1.71
B (0.1298, 0.0000, 0.8472) [2 per cell]  3 B 1.71-1.79
B (0.1969, 0.0000, 0.5255) [2 per cell]  3 C 1.61-1.63
B (0.2039, 0.5000, 0.0658) [2 per cell]  2 C 1.58-1.62
C (0.0340, 0.5000, 0.2182) [2 per cell]  2 C 1.48-1.49, 2 B 1.64
C (0.1476, 0.5000, 0.3392) [2 per cell]  1 C 1.49, 3 B 1.61-1.62
C (0.3216, 0.0000, 0.6415) [2 per cell]  3 C 1.58-1.62, 1 B 1.63
C (0.3253, 0.5000, 0.1418) [2 per cell]  3 C 1.58-1.64, 1 B 1.58
C (0.3605, 0.0000, 0.3361) [2 per cell]  4 C 1.52-1.62
C (0.3627, 0.5000, 0.8279) [2 per cell]  3 C 1.58-1.64
C (0.4765, 0.0000, 0.4536) [2 per cell]  2 C 1.48-1.52, 2 B 1.55

***

Model Q:
A plane-wave DFT calculation with PBE was carried out for a geometry-optimized B5C7 structure.

Lattice parameters (Å, degrees): 4.6017 4.6145 4.6311 75.70 60.59 69.02
Last column: nearest neighbours and their distance in Å.
Space group P1 (No. 1)
Unique sites:
B (0.0000, 0.0000, 0.0000) [1 per cell]  3 C 1.60-1.66
B (0.1120, 0.4954, 0.6553) [1 per cell]  3 C 1.60-1.68, 1 B 1.76
B (0.4538, 0.5689, 0.6689) [1 per cell]  3 C 1.65-1.84, 1 B 1.76
B (0.6841, 0.9292, 0.6823) [1 per cell]  3 C 1.59-1.64
B (0.8615, 0.5088, 0.2690) [1 per cell]  3 C 1.60
C (0.0655, 0.8716, 0.6617) [1 per cell]  1 C 1.55, 3 B 1.64-1.68
C (0.2092, 0.3664, 0.3143) [1 per cell]  2 C 1.53-1.54, 2 B 1.60-1.62
C (0.3241, 0.0081, 0.3349) [1 per cell]  4 C 1.54-1.55
C (0.3610, 0.8887, 0.0294) [1 per cell]  2 C 1.55-1.59, 2 B 1.59-1.62
C (0.4745, 0.5207, 0.0233) [1 per cell]  3 C 1.52-1.59, 1 B 1.65
C (0.6630, 0.8569, 0.3727) [1 per cell]  1 C 1.54, 2 B 1.60
C (0.8383, 0.3705, 0.9987) [1 per cell]  1 C 1.52, 3 B 1.60

***

Stability check: which of them is most stable? model Q.

***

Model P:
A plane-wave DFT calculation with PBE was carried out for a geometry-optimized KLiEu2 structure.

Lattice parameters (Å, degrees): 3.8857 3.8857 40.2133 90.00 90.00 120.00
Last column: nearest neighbours and their distance in Å.
Space group R-3m (No. 166, hexagonal axes)
Unique sites:
K (0.0000, 0.0000, 0.0000) [3 per cell]  6 K 3.89, 2 Eu 3.97
Li (0.0000, 0.0000, 0.5000) [3 per cell]  6 Eu 3.54, 6 Li 3.89
Eu (0.0000, 0.0000, 0.0986) [6 per cell]  3 Li 3.54, 6 Eu 3.89

***

Model Q:
A plane-wave DFT calculation with PBE was carried out for a geometry-optimized KLiEu2 structure.

Lattice parameters (Å, degrees): 4.0071 4.0071 11.0557 90.00 90.00 90.00
Last column: nearest neighbours and their distance in Å.
Space group P4/mmm (No. 123)
Unique sites:
K (0.0000, 0.0000, 0.0000) [1 per cell]  4 K 4.01
Li (0.0000, 0.0000, 0.5000) [1 per cell]  8 Eu 3.47
Eu (0.5000, 0.5000, 0.3181) [2 per cell]  4 Li 3.47

***

Stability check: which of them is most stable? model Q.

***

Model P:
A plane-wave DFT calculation with PBE was carried out for a geometry-optimized GaPF structure.

Lattice parameters (Å, degrees): 4.0018 7.3607 6.9173 90.00 90.00 90.00
Last column: nearest neighbours and their distance in Å.
Space group Imm2 (No. 44)
Unique sites:
Ga (0.0000, 0.2425, 0.0000) [4 per cell]  2 F 2.01-2.02
P (0.0000, 0.3486, 0.6707) [4 per cell]  1 P 2.23, 3 Ga 2.41-2.42
F (0.0000, 0.0000, 0.8642) [2 per cell]  2 Ga 2.02
F (0.0000, 0.5000, 0.0977) [2 per cell]  2 Ga 2.01

***

Model Q:
A plane-wave DFT calculation with PBE was carried out for a geometry-optimized GaPF structure.

Lattice parameters (Å, degrees): 10.3708 3.8147 5.5633 90.00 102.41 90.00
Last column: nearest neighbours and their distance in Å.
Space group Cm (No. 8)
Unique sites:
Ga (0.0000, 0.0000, 0.0000) [2 per cell]  2 F 2.34, 1 P 2.58
Ga (0.1511, 0.5000, 0.5749) [2 per cell]  3 F 1.99
P (0.3773, 0.5000, 0.5437) [2 per cell]  2 P 2.35, 2 Ga 2.39-2.58
P (0.4306, 0.0000, 0.3383) [2 per cell]  2 P 2.35, 1 Ga 2.38
F (0.1114, 0.5000, 0.9098) [2 per cell]  1 Ga 1.99
F (0.1854, 0.0000, 0.6720) [2 per cell]  2 Ga 1.99

***

Stability check: which of them is most stable? model P.